1.
A plane-wave DFT calculation with PBE with a Hubbard U was carried out for a relaxed structure of K3Dy3CoO8.

a b c (Å): 6.795 6.669 7.399
angles (deg): 116.79 91.23 119.43
Site moments in Bohr magnetons follow the coordinates.
Fractional coordinates of all 15 atoms:
1 K 0.000 0.000 0.000  0.00
2 K 0.000 0.500 0.000  0.00
3 K 0.500 0.500 0.000  0.00
4 Dy 0.500 0.000 0.500  0.01
5 Dy 0.500 0.500 0.500  0.01
6 Dy 0.000 0.500 0.500  0.03
7 Co 0.000 0.000 0.500  2.48
8 O 0.264 0.540 0.316  0.01
9 O 0.736 0.460 0.684  0.01
10 O 0.802 0.609 0.340  0.04
11 O 0.198 0.391 0.660  0.04
12 O 0.801 0.033 0.339  0.02
13 O 0.199 0.967 0.661  0.02
14 O 0.282 0.043 0.304  0.16
15 O 0.718 0.957 0.696  0.16

Calculated values
Total moment in Bohr magnetons per cell: 3.076
SG: C2/m, No. 12
Total DFT energy (no corrections) in eV/atom: -6.43

2.
A plane-wave DFT calculation with PBE with a Hubbard U was carried out for a relaxed structure of KDyCoO3.

a b c (Å): 3.588 7.322 9.187
angles (deg): 111.46 90.00 90.00
Site moments in Bohr magnetons follow the coordinates.
Fractional coordinates of all 12 atoms:
1 K 0.250 0.196 0.171  0.00
2 K 0.750 0.804 0.829  0.00
3 Dy 0.250 0.677 0.139  0.00
4 Dy 0.750 0.323 0.861  0.00
5 Co 0.250 0.027 0.624  1.03
6 Co 0.750 0.973 0.376  1.03
7 O 0.750 0.885 0.150  -0.03
8 O 0.250 0.115 0.850  -0.03
9 O 0.250 0.925 0.396  -0.01
10 O 0.750 0.075 0.604  -0.01
11 O 0.750 0.466 0.120  0.00
12 O 0.250 0.534 0.880  0.00

Calculated values
Total moment in Bohr magnetons per cell: 2.000
SG: P2_1/m, No. 11
Total DFT energy (no corrections) in eV/atom: -6.31

3.
A plane-wave DFT calculation with PBE with a Hubbard U was carried out for a relaxed structure of K2DyCoO4.

a b c (Å): 5.710 6.920 11.618
angles (deg): 84.18 75.77 65.63
Site moments in Bohr magnetons follow the coordinates.
Fractional coordinates of all 16 atoms:
1 K 0.199 0.000 0.603  0.00
2 K 0.801 0.000 0.397  0.00
3 K 0.551 0.500 0.897  0.00
4 K 0.949 0.500 0.103  0.00
5 Dy 0.750 0.500 0.500  0.02
6 Dy 0.000 0.000 0.000  0.02
7 Co 0.250 0.500 0.500  2.92
8 Co 0.500 0.000 0.000  2.92
9 O 0.338 0.811 0.069  0.20
10 O 0.218 0.189 0.931  0.20
11 O 0.851 0.811 0.931  0.20
12 O 0.593 0.189 0.069  0.20
13 O 0.412 0.689 0.431  0.20
14 O 0.532 0.311 0.569  0.20
15 O 0.899 0.689 0.569  0.20
16 O 0.157 0.311 0.431  0.20

Calculated values
Total moment in Bohr magnetons per cell: 7.951
SG: Fddd, No. 70
Total DFT energy (no corrections) in eV/atom: -5.58

4.
A plane-wave DFT calculation with PBE with a Hubbard U was carried out for a relaxed structure of K4Dy3CoO8.

a b c (Å): 6.764 7.353 6.825
angles (deg): 117.54 119.71 90.00
Site moments in Bohr magnetons follow the coordinates.
Fractional coordinates of all 16 atoms:
1 K 0.500 0.000 0.000  0.01
2 K 0.500 0.000 0.500  0.00
3 K 0.000 0.000 0.000  0.00
4 K 0.000 0.000 0.500  0.00
5 Dy 0.500 0.500 0.000  0.01
6 Dy 0.500 0.500 0.500  0.01
7 Dy 0.000 0.500 0.500  0.01
8 Co 0.000 0.500 0.000  3.00
9 O 0.213 0.677 0.962  0.12
10 O 0.234 0.694 0.468  0.12
11 O 0.272 0.313 0.545  0.01
12 O 0.749 0.677 0.962  0.12
13 O 0.251 0.323 0.038  0.12
14 O 0.728 0.687 0.455  0.01
15 O 0.766 0.306 0.532  0.12
16 O 0.787 0.323 0.038  0.12

Calculated values
Total moment in Bohr magnetons per cell: 3.941
SG: C2/m, No. 12
Total DFT energy (no corrections) in eV/atom: -6.22